[1]
AlMoN2F | GGA-PBEsol | optimized geometry

Results
- E_form (uncorrected) (eV per atom) = -0.2596
- electronic total energy (eV for the cell shown) = -36.14
- magnetization (μB per formula unit) = 0.00

Cell lengths 3.9303, 3.9303, 4.0227 Å; angles 90.00, 90.00, 90.00 degrees
Space group P4/mmm (No. 123)
One atom of each set of equivalent atoms:
Al1 0.0000 0.0000 0.0000 (multiplicity 1)
Mo1 0.5000 0.5000 0.5000 (multiplicity 1)
N1 0.0000 0.5000 0.5000 (multiplicity 2)
F1 0.5000 0.5000 0.0000 (multiplicity 1)



[2]
Mo4C3 | GGA-PBEsol | optimized geometry

Results
- electronic total energy (eV for the cell shown) = -72.69
- calculated formation energy (eV/atom) = 0.473
- magnetization (μB per formula unit) = 0.00

Cell lengths 4.4620, 4.4620, 4.4620 Å; angles 90.00, 90.00, 90.00 degrees
Space group P-43m (No. 215)
One atom of each set of equivalent atoms:
Mo1 0.2239 0.2239 0.7761 (multiplicity 4)
C1 0.0000 0.5000 0.5000 (multiplicity 3)



[3]
BeRe2Ir | GGA-PBEsol | optimized geometry

Results
- electronic total energy (eV for the cell shown) = -79.96
- calculated formation energy (eV/atom) = 0.127
- magnetization (μB per formula unit) = 0.00

Cell lengths 4.9612, 8.0708, 2.6906 Å; angles 90.00, 90.00, 90.00 degrees
Space group Cmmm (No. 65)
One atom of each set of equivalent atoms:
Be1 0.0000 0.0000 0.0000 (multiplicity 2)
Re1 0.2500 0.2500 0.5000 (multiplicity 4)
Ir1 0.0000 0.5000 0.0000 (multiplicity 2)



[4]
TlP2Ru | GGA-PBEsol | optimized geometry

Results
- electronic total energy (eV for the cell shown) = -49.23
- calculated formation energy (eV/atom) = -0.058
- magnetization (μB per formula unit) = 0.00

Cell lengths 8.1697, 3.0219, 6.3246 Å; angles 90.00, 103.83, 90.00 degrees
Space group Cm (No. 8)
One atom of each set of equivalent atoms:
Tl1 0.0000 0.0000 0.0000 (multiplicity 2)
P1 0.2167 0.0000 0.6961 (multiplicity 2)
P2 0.3405 0.0000 0.4230 (multiplicity 2)
Ru1 0.1183 0.5000 0.4022 (multiplicity 2)



[5]
KGaPO4F | GGA-PBEsol | optimized geometry

Results
- E_form (uncorrected) (eV per atom) = -2.3556
- electronic total energy (eV for the cell shown) = -416.27
- magnetization (μB per formula unit) = 0.00

Cell lengths 12.7284, 6.3030, 10.4964 Å; angles 90.00, 90.00, 90.00 degrees
Space group Pna2_1 (No. 33)
One atom of each set of equivalent atoms:
K1 0.1047 0.1956 0.0000 (multiplicity 4)
K2 0.1216 0.7734 0.7430 (multiplicity 4)
Ga1 0.1117 0.4949 0.4459 (multiplicity 4)
Ga2 0.2465 0.7517 0.1952 (multiplicity 4)
P1 0.0001 0.3275 0.6966 (multiplicity 4)
P2 0.1836 0.0006 0.4475 (multiplicity 4)
O1 0.0101 0.5311 0.3168 (multiplicity 4)
O2 0.0135 0.4843 0.5840 (multiplicity 4)
O3 0.0968 0.8154 0.1770 (multiplicity 4)
O4 0.0992 0.1882 0.7131 (multiplicity 4)
O5 0.1133 0.1931 0.4192 (multiplicity 4)
O6 0.1129 0.8069 0.4767 (multiplicity 4)
O7 0.2415 0.4515 0.8343 (multiplicity 4)
O8 0.2424 0.5399 0.0634 (multiplicity 4)
F1 0.2273 0.4827 0.5748 (multiplicity 4)
F2 0.2295 0.5252 0.3246 (multiplicity 4)



[6]
SiTcPt2 | GGA-PBEsol | optimized geometry

Results
- E_form (uncorrected) (eV per atom) = -0.1830
- electronic total energy (eV for the cell shown) = -31.67
- magnetization (μB per formula unit) = 0.00

Cell lengths 2.7297, 3.9151, 5.2969 Å; angles 90.00, 90.00, 90.00 degrees
Space group Pmmm (No. 47)
One atom of each set of equivalent atoms:
Si1 0.0000 0.0000 0.0000 (multiplicity 1)
Tc1 0.0000 0.0000 0.5000 (multiplicity 1)
Pt1 0.5000 0.5000 0.2516 (multiplicity 2)



[7]
Ba2SrRh | GGA-PBEsol | optimized geometry

Results
- electronic total energy (eV for the cell shown) = -28.97
- calculated formation energy (eV/atom) = -0.052
- magnetization (μB per formula unit) = 0.00

Cell lengths 11.4571, 4.0739, 7.7640 Å; angles 90.00, 113.22, 90.00 degrees
Space group Cm (No. 8)
One atom of each set of equivalent atoms:
Ba1 0.0000 0.0000 0.0000 (multiplicity 2)
Ba2 0.1622 0.0000 0.6115 (multiplicity 2)
Sr1 0.3199 0.5000 0.3011 (multiplicity 2)
Rh1 0.0391 0.5000 0.3039 (multiplicity 2)



[8]
RbAlMo2F | GGA-PBEsol | optimized geometry

Results
- E_form (uncorrected) (eV per atom) = 1.1985
- electronic total energy (eV for the cell shown) = -24.59
- magnetization (μB per formula unit) = 8.36

Cell lengths 5.1744, 5.1744, 4.5240 Å; angles 90.00, 90.00, 90.00 degrees
Space group P4/mmm (No. 123)
One atom of each set of equivalent atoms:
Rb1 0.0000 0.0000 0.0000 (multiplicity 1)
Al1 0.5000 0.5000 0.5000 (multiplicity 1)
Mo1 0.0000 0.5000 0.5000 (multiplicity 2)
F1 0.5000 0.5000 0.0000 (multiplicity 1)



[9]
TaMn2Re | GGA-PBEsol | optimized geometry

Results
- electronic total energy (eV for the cell shown) = -45.36
- calculated formation energy (eV/atom) = 0.012
- magnetization (μB per formula unit) = 0.99

Cell lengths 4.2276, 4.2276, 2.9513 Å; angles 90.00, 90.00, 90.00 degrees
Space group P4/mmm (No. 123)
One atom of each set of equivalent atoms:
Ta1 0.0000 0.0000 0.0000 (multiplicity 1)
Mn1 0.0000 0.5000 0.5000 (multiplicity 2)
Re1 0.5000 0.5000 0.0000 (multiplicity 1)



[10]
TiSbPd2 | GGA-PBEsol | optimized geometry

Results
- E_form (uncorrected) (eV per atom) = -0.3125
- electronic total energy (eV for the cell shown) = -104.19
- magnetization (μB per formula unit) = 0.00

Cell lengths 3.9470, 3.9470, 18.1847 Å; angles 90.00, 90.00, 90.00 degrees
Space group I-42d (No. 122)
One atom of each set of equivalent atoms:
Ti1 0.0000 0.0000 0.0000 (multiplicity 4)
Sb1 0.0000 0.0000 0.5000 (multiplicity 4)
Pd1 0.2457 0.2500 0.1250 (multiplicity 8)



[11]
MgSi2Ru | GGA-PBEsol | optimized geometry

Results
- E_form (uncorrected) (eV per atom) = 0.1467
- electronic total energy (eV for the cell shown) = -91.18
- magnetization (μB per formula unit) = 0.00

Cell lengths 6.0758, 6.0758, 6.0758 Å; angles 90.00, 90.00, 90.00 degrees
Space group F-43m (No. 216)
One atom of each set of equivalent atoms:
Mg1 0.0000 0.0000 0.0000 (multiplicity 4)
Si1 0.0000 0.0000 0.5000 (multiplicity 4)
Si2 0.2500 0.2500 0.7500 (multiplicity 4)
Ru1 0.2500 0.2500 0.2500 (multiplicity 4)



[12]
KTbP2H4O9 | GGA-PBEsol | optimized geometry

Results
- electronic total energy (eV for the cell shown) = -457.03
- magnetization (μB per formula unit) = 0.00

Cell lengths 7.7384, 10.7121, 9.7603 Å; angles 90.00, 92.15, 90.00 degrees
Space group P2_1/c (No. 14)
One atom of each set of equivalent atoms:
K1 0.2476 0.2150 0.3484 (multiplicity 4)
Tb1 0.2452 0.6178 0.1753 (multiplicity 4)
P1 0.1102 0.6006 0.8241 (multiplicity 4)
P2 0.4707 0.6445 0.8665 (multiplicity 4)
H1 0.0180 0.1562 0.0055 (multiplicity 4)
H2 0.0793 0.0760 0.1316 (multiplicity 4)
H3 0.2034 0.0029 0.9662 (multiplicity 4)
H4 0.3399 0.6146 0.4707 (multiplicity 4)
O1 0.0116 0.0163 0.2752 (multiplicity 4)
O2 0.0837 0.6354 0.9726 (multiplicity 4)
O3 0.0849 0.7086 0.7230 (multiplicity 4)
O4 0.1230 0.1168 0.0461 (multiplicity 4)
O5 0.2525 0.5709 0.4142 (multiplicity 4)
O6 0.3116 0.5539 0.8138 (multiplicity 4)
O7 0.3640 0.0746 0.6635 (multiplicity 4)
O8 0.4478 0.6671 0.0191 (multiplicity 4)
O9 0.4535 0.7353 0.2837 (multiplicity 4)



[13]
Tm6GaCo2 | GGA-PBEsol | optimized geometry

Results
- electronic total energy (eV for the cell shown) = -204.93
- calculated formation energy (eV/atom) = -0.336
- magnetization (μB per formula unit) = 0.00

Cell lengths 8.9547, 9.2034, 9.5582 Å; angles 90.00, 90.00, 90.00 degrees
Space group Immm (No. 71)
One atom of each set of equivalent atoms:
Tm1 0.0000 0.1981 0.2393 (multiplicity 8)
Tm2 0.1893 0.5000 0.1738 (multiplicity 8)
Tm3 0.2194 0.3184 0.5000 (multiplicity 8)
Ga1 0.0000 0.0000 0.0000 (multiplicity 2)
Ga2 0.0000 0.0000 0.5000 (multiplicity 2)
Co1 0.0000 0.3380 0.0000 (multiplicity 4)
Co2 0.0000 0.5000 0.3839 (multiplicity 4)



[14]
Zr2BeZn | GGA-PBEsol | optimized geometry

Results
- electronic total energy (eV for the cell shown) = -48.43
- calculated formation energy (eV/atom) = -0.113
- magnetization (μB per formula unit) = 0.00

Cell lengths 3.1888, 4.4866, 9.2935 Å; angles 90.00, 90.00, 90.00 degrees
Space group Imm2 (No. 44)
One atom of each set of equivalent atoms:
Zr1 0.0000 0.0000 0.0000 (multiplicity 2)
Zr2 0.0000 0.5000 0.2256 (multiplicity 2)
Be1 0.0000 0.5000 0.7626 (multiplicity 2)
Zn1 0.0000 0.0000 0.4437 (multiplicity 2)



[15]
InGe3Ru | GGA-PBEsol | optimized geometry

Results
- electronic total energy (eV for the cell shown) = -26.81
- calculated formation energy (eV/atom) = 0.232
- magnetization (μB per formula unit) = 0.00

Cell lengths 4.7499, 4.7499, 4.7499 Å; angles 90.00, 90.00, 90.00 degrees
Space group Pm-3m (No. 221)
One atom of each set of equivalent atoms:
In1 0.0000 0.0000 0.0000 (multiplicity 1)
Ge1 0.0000 0.5000 0.5000 (multiplicity 3)
Ru1 0.5000 0.5000 0.5000 (multiplicity 1)



[16]
SrFe5Bi4O15 | GGA-PBEsol | optimized geometry

Results
- E_form (uncorrected) (eV per atom) = -1.3795
- electronic total energy (eV for the cell shown) = -177.03
- magnetization (μB per formula unit) = 15.02

Cell lengths 5.4709, 6.6376, 8.5299 Å; angles 104.82, 108.64, 90.19 degrees
Space group P1 (No. 1)
One atom of each set of equivalent atoms:
Sr1 0.0000 0.0000 0.0000 (multiplicity 1)
Fe1 0.1945 0.2957 0.3977 (multiplicity 1)
Fe2 0.3913 0.0922 0.8042 (multiplicity 1)
Fe3 0.5846 0.9028 0.1943 (multiplicity 1)
Fe4 0.7889 0.7026 0.6013 (multiplicity 1)
Fe5 0.9986 0.5010 0.9987 (multiplicity 1)
Bi1 0.2576 0.8100 0.4098 (multiplicity 1)
Bi2 0.4423 0.5659 0.8004 (multiplicity 1)
Bi3 0.6493 0.4292 0.2062 (multiplicity 1)
Bi4 0.8500 0.1863 0.5908 (multiplicity 1)
O1 0.0629 0.3943 0.1992 (multiplicity 1)
O2 0.0827 0.8976 0.6770 (multiplicity 1)
O3 0.1710 0.2917 0.8896 (multiplicity 1)
O4 0.2785 0.2221 0.6111 (multiplicity 1)
O5 0.2790 0.7087 0.1065 (multiplicity 1)
O6 0.4061 0.0969 0.3154 (multiplicity 1)
O7 0.4564 0.5299 0.5168 (multiplicity 1)
O8 0.4971 0.9965 0.9985 (multiplicity 1)
O9 0.5925 0.9209 0.6812 (multiplicity 1)
O10 0.6631 0.7713 0.3859 (multiplicity 1)
O11 0.6715 0.3130 0.9021 (multiplicity 1)
O12 0.7628 0.6834 0.0961 (multiplicity 1)
O13 0.8603 0.6101 0.8008 (multiplicity 1)
O14 0.9016 0.0795 0.3132 (multiplicity 1)
O15 0.9361 0.4748 0.4875 (multiplicity 1)



[17]
LiP2BrO | GGA-PBEsol | optimized geometry

Results
- E_form (uncorrected) (eV per atom) = 0.8451
- electronic total energy (eV for the cell shown) = -16.44
- magnetization (μB per formula unit) = 0.00

Cell lengths 5.0748, 5.0748, 3.6298 Å; angles 90.00, 90.00, 90.00 degrees
Space group P4/mmm (No. 123)
One atom of each set of equivalent atoms:
Li1 0.0000 0.0000 0.0000 (multiplicity 1)
P1 0.0000 0.5000 0.5000 (multiplicity 2)
Br1 0.5000 0.5000 0.5000 (multiplicity 1)
O1 0.5000 0.5000 0.0000 (multiplicity 1)



[18]
PtBrCl | GGA-PBEsol | optimized geometry

Results
- E_form (uncorrected) (eV per atom) = -0.1834
- electronic total energy (eV for the cell shown) = -45.57
- magnetization (μB per formula unit) = 0.00

Cell lengths 3.4895, 7.2941, 12.6977 Å; angles 90.00, 90.00, 90.00 degrees
Space group Fmm2 (No. 42)
One atom of each set of equivalent atoms:
Pt1 0.0000 0.0000 0.0000 (multiplicity 4)
Br1 0.0000 0.0000 0.3697 (multiplicity 4)
Cl1 0.0000 0.0000 0.6198 (multiplicity 4)



[19]
Ca2ScBr | GGA-PBEsol | optimized geometry

Results
- E_form (uncorrected) (eV per atom) = -0.5253
- electronic total energy (eV for the cell shown) = -14.84
- magnetization (μB per formula unit) = 0.49

Cell lengths 3.5175, 3.5175, 9.3298 Å; angles 90.00, 90.00, 90.00 degrees
Space group P4/mmm (No. 123)
One atom of each set of equivalent atoms:
Ca1 0.0000 0.0000 0.2333 (multiplicity 2)
Sc1 0.5000 0.5000 0.5000 (multiplicity 1)
Br1 0.5000 0.5000 0.0000 (multiplicity 1)